{
  "formula": "BaMgTl3",
  "functional": "PBE-GGA",
  "state": "relaxed",
  "cell": [[6.1942, 0.0000, -3.4246], [-2.3560, 7.1394, -4.2614], [0.3286, -0.4014, 7.9085]],
  "species": ["Ba", "Ba", "Mg", "Mg", "Tl", "Tl", "Tl", "Tl", "Tl", "Tl"],
  "fractional_positions": [[0.2500, 0.3285, 0.5000], [0.7500, 0.6715, 0.5000], [0.0000, 0.5000, 0.0000], [0.5000, 0.0000, 0.0000], [0.6702, 0.1702, 0.8404], [0.1702, 0.1702, 0.8404], [0.8298, 0.8298, 0.1596], [0.3298, 0.8298, 0.1596], [0.2500, 0.7608, 0.5000], [0.7500, 0.2392, 0.5000]],
  "magnetic_moment_mub_per_cell": 0.0,
  "dft_energy_ev_per_atom": -2.25,
  "spacegroup": "No. 74",
  "n_ef_per_ev_cell": 5.0,
  "crystal_system": "orthorhombic"
}

---

{
  "formula": "TbSm6Sc2",
  "functional": "PBE-GGA",
  "state": "relaxed",
  "cell": [[5.5193, -0.8843, 0.2295], [-1.5093, 9.8388, 6.3276], [-3.0226, 1.6783, 11.2768]],
  "species": ["Tb", "Tb", "Sm", "Sm", "Sm", "Sm", "Sm", "Sm", "Sm", "Sm", "Sm", "Sm", "Sm", "Sm", "Sc", "Sc", "Sc", "Sc"],
  "fractional_positions": [[0.2500, 0.2496, 0.7504], [0.7500, 0.7504, 0.2496], [0.8359, 0.5039, 0.6697], [0.6641, 0.3303, 0.4961], [0.1641, 0.4961, 0.3303], [0.3359, 0.6697, 0.5039], [0.9209, 0.9215, 0.4208], [0.5791, 0.5792, 0.0785], [0.0791, 0.0785, 0.5792], [0.4209, 0.4208, 0.9215], [0.1626, 0.8291, 0.9970], [0.3374, 0.0030, 0.1709], [0.8374, 0.1709, 0.0030], [0.6626, 0.9970, 0.8291], [0.0002, 0.6665, 0.8332], [0.4998, 0.1668, 0.3335], [0.9998, 0.3335, 0.1668], [0.5002, 0.8332, 0.6665]],
  "magnetic_moment_mub_per_cell": 0.0,
  "spacegroup": "No. 15",
  "n_ef_per_ev_cell": 29.4,
  "e_above_lowest_polymorph_mev_per_atom": 0,
  "crystal_system": "monoclinic"
}

---

{
  "formula": "SrAs2Br",
  "functional": "PBE-GGA",
  "state": "relaxed",
  "cell": [[6.4752, -0.0053, -0.0023], [5.3510, 3.6462, -0.0023], [0.6545, 0.2015, 4.8947]],
  "species": ["Sr", "As", "As", "Br"],
  "fractional_positions": [[0.7500, 0.7500, 0.7500], [0.0097, 0.0097, 0.9056], [0.4903, 0.4903, 0.5944], [0.2500, 0.2500, 0.2500]],
  "magnetic_moment_mub_per_cell": 0.0,
  "raw_formation_energy_mev_per_atom": -873,
  "spacegroup": "No. 12",
  "n_ef_per_ev_cell": 1.6,
  "e_above_lowest_polymorph_mev_per_atom": 34,
  "crystal_system": "monoclinic"
}

---

{
  "formula": "Si2AuSe",
  "functional": "PBE-GGA",
  "state": "relaxed",
  "cell": [[-5.5833, 0.7943, -1.1737], [-4.2660, -1.6966, 3.4792], [4.9252, 2.9831, -0.1595]],
  "species": ["Au", "Se", "Si", "Si"],
  "fractional_positions": [[0.7500, 0.2500, 0.5000], [0.2500, 0.7500, 0.5000], [0.9648, 0.9648, 0.0000], [0.5352, 0.5352, 0.0000]],
  "magnetic_moment_mub_per_cell": 0.0,
  "raw_formation_energy_mev_per_atom": 491,
  "spacegroup": "No. 71",
  "n_ef_per_ev_cell": 1.5,
  "crystal_system": "orthorhombic"
}

---

{
  "formula": "PrDyCu10",
  "functional": "PBE-GGA",
  "state": "relaxed",
  "cell": [[-2.4872, -0.8862, -3.1532], [-2.1401, -3.7367, 2.7384], [-5.9366, 5.6650, 3.0907]],
  "species": ["Pr", "Dy", "Cu", "Cu", "Cu", "Cu", "Cu", "Cu", "Cu", "Cu", "Cu", "Cu"],
  "fractional_positions": [[0.0000, 0.5000, 0.5000], [0.0000, 0.0000, 0.0000], [0.0000, 0.0000, 0.3282], [0.0000, 0.5000, 0.8387], [0.0000, 0.5000, 0.1613], [0.0000, 0.0000, 0.6718], [0.5000, 0.0000, 0.5000], [0.5000, 0.5000, 0.0000], [0.5000, 0.2473, 0.2451], [0.5000, 0.7527, 0.7549], [0.5000, 0.7527, 0.2451], [0.5000, 0.2473, 0.7549]],
  "magnetic_moment_mub_per_cell": 0.0,
  "dft_energy_ev_per_atom": -4.37,
  "spacegroup": "No. 47",
  "n_ef_per_ev_cell": 7.0,
  "crystal_system": "orthorhombic"
}

---

{
  "formula": "Pm2MgCd2",
  "functional": "PBE-GGA",
  "state": "relaxed",
  "cell": [[-2.1646, 0.9626, -3.3031], [-2.3122, -5.4056, -2.5611], [-6.1788, -1.2418, 1.1861]],
  "species": ["Pm", "Pm", "Mg", "Cd", "Cd"],
  "fractional_positions": [[0.2191, 0.2809, 0.2809], [0.7809, 0.7191, 0.7191], [0.0000, 0.0000, 0.0000], [0.5000, 0.2863, 0.7137], [0.5000, 0.7137, 0.2863]],
  "magnetic_moment_mub_per_cell": 0.0,
  "spacegroup": "No. 71",
  "n_ef_per_ev_cell": 6.8,
  "e_above_lowest_polymorph_mev_per_atom": 50,
  "crystal_system": "orthorhombic"
}

---

{
  "formula": "KLiCdHg3",
  "functional": "PBE-GGA",
  "state": "relaxed",
  "cell": [[7.1744, 0.0000, 0.0000], [0.0000, 6.9169, 0.0000], [0.0000, -3.4585, 6.8881]],
  "species": ["K", "K", "Li", "Li", "Cd", "Cd", "Hg", "Hg", "Hg", "Hg", "Hg", "Hg"],
  "fractional_positions": [[0.7500, 0.2922, 0.5844], [0.2500, 0.7078, 0.4156], [0.2500, 0.9481, 0.8963], [0.7500, 0.0519, 0.1037], [0.2500, 0.3631, 0.7263], [0.7500, 0.6369, 0.2737], [0.2500, 0.1523, 0.3046], [0.0000, 0.2736, 0.0000], [0.5000, 0.7264, 0.0000], [0.5000, 0.2736, 0.0000], [0.0000, 0.7264, 0.0000], [0.7500, 0.8477, 0.6954]],
  "magnetic_moment_mub_per_cell": 0.0,
  "dft_energy_ev_per_atom": -0.96,
  "spacegroup": "No. 63",
  "n_ef_per_ev_cell": 5.3,
  "crystal_system": "orthorhombic"
}

---

{
  "formula": "Dy3Tm2Al2",
  "functional": "PBE-GGA",
  "state": "relaxed",
  "cell": [[5.2365, -0.0011, 0.0010], [-2.6193, 4.5251, -0.2862], [0.0021, -2.5324, 7.9172]],
  "species": ["Dy", "Dy", "Dy", "Tm", "Tm", "Al", "Al"],
  "fractional_positions": [[0.5000, 0.0000, 0.0000], [0.6534, 0.3070, 0.4604], [0.3466, 0.6931, 0.5396], [0.9191, 0.8382, 0.2577], [0.0809, 0.1618, 0.7423], [0.7831, 0.5664, 0.8492], [0.2169, 0.4336, 0.1508]],
  "magnetic_moment_mub_per_cell": 0.0,
  "spacegroup": "No. 166",
  "n_ef_per_ev_cell": 4.5,
  "e_above_lowest_polymorph_mev_per_atom": 0,
  "crystal_system": "trigonal"
}

---

Copy entry 3 word for word.
{
  "formula": "SrAs2Br",
  "functional": "PBE-GGA",
  "state": "relaxed",
  "cell": [[6.4752, -0.0053, -0.0023], [5.3510, 3.6462, -0.0023], [0.6545, 0.2015, 4.8947]],
  "species": ["Sr", "As", "As", "Br"],
  "fractional_positions": [[0.7500, 0.7500, 0.7500], [0.0097, 0.0097, 0.9056], [0.4903, 0.4903, 0.5944], [0.2500, 0.2500, 0.2500]],
  "magnetic_moment_mub_per_cell": 0.0,
  "raw_formation_energy_mev_per_atom": -873,
  "spacegroup": "No. 12",
  "n_ef_per_ev_cell": 1.6,
  "e_above_lowest_polymorph_mev_per_atom": 34,
  "crystal_system": "monoclinic"
}